No. 1
# IrSe2Br PBE relaxed
# - formation energy without anion corrections (meV per atom) = 265.4
# - DOS at the Fermi energy (states/eV per cell) = 2.9
# - energy relative to the lowest polymorph listed for this composition (kJ per mole of atoms) = 47.7
# - space group = No. 123
# - E (eV per atom) = -4.1103
data_IrSe2Br
_chemical_formula_sum 'Ir1 Se2 Br1'
_cell_length_a 3.079
_cell_length_b 3.079
_cell_length_c 9.625
_cell_angle_alpha 90.00
_cell_angle_beta 90.00
_cell_angle_gamma 90.00
_symmetry_space_group_name_H-M 'P 1'
_symmetry_Int_Tables_number 1
_symmetry_space_group_name_Hall 'P 1'
loop_
_atom_site_label
_atom_site_type_symbol
_atom_site_fract_x
_atom_site_fract_y
_atom_site_fract_z
_atom_site_occupancy
Ir1 Ir 0.000 0.000 0.000 1
Se1 Se 0.500 0.500 0.161 1
Se2 Se 0.500 0.500 0.839 1
Br1 Br 0.000 0.000 0.500 1

No. 2
# MnZnW2 PBE relaxed
# - DOS at the Fermi energy (states/eV per cell) = 3.0
# - space group = No. 123
# - E (eV per atom) = -8.7989
data_MnZnW2
_chemical_formula_sum 'Mn1 Zn1 W2'
_cell_length_a 2.661
_cell_length_b 2.661
_cell_length_c 8.326
_cell_angle_alpha 90.00
_cell_angle_beta 90.00
_cell_angle_gamma 90.00
_symmetry_space_group_name_H-M 'P 1'
_symmetry_Int_Tables_number 1
_symmetry_space_group_name_Hall 'P 1'
loop_
_atom_site_label
_atom_site_type_symbol
_atom_site_fract_x
_atom_site_fract_y
_atom_site_fract_z
_atom_site_occupancy
Mn1 Mn 0.000 0.000 0.000 1
Zn1 Zn 0.000 0.000 0.500 1
W1 W 0.500 0.500 0.245 1
W2 W 0.500 0.500 0.755 1

No. 3
# Tm6InGe2S3 PBE relaxed
# - formation energy without anion corrections (meV per atom) = -1288.7
# - DOS at the Fermi energy (states/eV per cell) = 4.2
# - space group = No. 12
# - E (eV per atom) = -5.5541
data_Tm6InGe2S3
_chemical_formula_sum 'Tm6 In1 Ge2 S3'
_cell_length_a 9.178
_cell_length_b 9.178
_cell_length_c 8.149
_cell_angle_alpha 109.05
_cell_angle_beta 109.05
_cell_angle_gamma 25.08
_symmetry_space_group_name_H-M 'P 1'
_symmetry_Int_Tables_number 1
_symmetry_space_group_name_Hall 'P 1'
loop_
_atom_site_label
_atom_site_type_symbol
_atom_site_fract_x
_atom_site_fract_y
_atom_site_fract_z
_atom_site_occupancy
Tm1 Tm 0.008 0.008 0.227 1
Tm2 Tm 0.325 0.325 0.426 1
Tm3 Tm 0.330 0.330 0.931 1
Tm4 Tm 0.670 0.670 0.069 1
Tm5 Tm 0.675 0.675 0.574 1
Tm6 Tm 0.992 0.992 0.773 1
In1 In 0.500 0.500 0.500 1
Ge1 Ge 0.158 0.158 0.811 1
Ge2 Ge 0.842 0.842 0.189 1
S1 S 0.168 0.168 0.321 1
S2 S 0.500 0.500 0.000 1
S3 S 0.832 0.832 0.679 1

No. 4
# AgPd5 PBE relaxed
# - DOS at the Fermi energy (states/eV per cell) = 25.5
# - energy relative to the lowest polymorph listed for this composition (kJ per mole of atoms) = 1.2
# - space group = No. 59
# - E (eV per atom) = -4.7905
data_AgPd5
_chemical_formula_sum 'Ag2 Pd10'
_cell_length_a 3.977
_cell_length_b 8.482
_cell_length_c 5.613
_cell_angle_alpha 90.00
_cell_angle_beta 90.00
_cell_angle_gamma 90.00
_symmetry_space_group_name_H-M 'P 1'
_symmetry_Int_Tables_number 1
_symmetry_space_group_name_Hall 'P 1'
loop_
_atom_site_label
_atom_site_type_symbol
_atom_site_fract_x
_atom_site_fract_y
_atom_site_fract_z
_atom_site_occupancy
Ag1 Ag 0.250 0.250 0.125 1
Ag2 Ag 0.750 0.750 0.875 1
Pd1 Pd 0.250 0.250 0.625 1
Pd2 Pd 0.250 0.582 0.128 1
Pd3 Pd 0.250 0.583 0.623 1
Pd4 Pd 0.250 0.917 0.623 1
Pd5 Pd 0.250 0.918 0.128 1
Pd6 Pd 0.750 0.082 0.872 1
Pd7 Pd 0.750 0.083 0.377 1
Pd8 Pd 0.750 0.417 0.377 1
Pd9 Pd 0.750 0.418 0.872 1
Pd10 Pd 0.750 0.750 0.375 1

No. 5
# Al2FeHg PBE relaxed
# - DOS at the Fermi energy (states/eV per cell) = 2.7
# - space group = No. 25
# - E (eV per atom) = -3.9654
data_Al2FeHg
_chemical_formula_sum 'Al2 Fe1 Hg1'
_cell_length_a 3.212
_cell_length_b 3.500
_cell_length_c 5.643
_cell_angle_alpha 90.00
_cell_angle_beta 90.00
_cell_angle_gamma 90.00
_symmetry_space_group_name_H-M 'P 1'
_symmetry_Int_Tables_number 1
_symmetry_space_group_name_Hall 'P 1'
loop_
_atom_site_label
_atom_site_type_symbol
_atom_site_fract_x
_atom_site_fract_y
_atom_site_fract_z
_atom_site_occupancy
Al1 Al 0.000 0.000 0.000 1
Al2 Al 0.500 0.500 0.269 1
Fe1 Fe 0.000 0.000 0.435 1
Hg1 Hg 0.500 0.500 0.740 1

No. 6
# Pr4Hg2Cl PBE relaxed
# - formation energy without anion corrections (meV per atom) = -686.4
# - DOS at the Fermi energy (states/eV per cell) = 7.5
# - energy relative to the lowest polymorph listed for this composition (kJ per mole of atoms) = 0.0
# - space group = No. 12
# - E (eV per atom) = -3.7675
data_Pr4Hg2Cl
_chemical_formula_sum 'Pr4 Hg2 Cl1'
_cell_length_a 6.911
_cell_length_b 6.911
_cell_length_c 9.157
_cell_angle_alpha 121.96
_cell_angle_beta 121.96
_cell_angle_gamma 35.34
_symmetry_space_group_name_H-M 'P 1'
_symmetry_Int_Tables_number 1
_symmetry_space_group_name_Hall 'P 1'
loop_
_atom_site_label
_atom_site_type_symbol
_atom_site_fract_x
_atom_site_fract_y
_atom_site_fract_z
_atom_site_occupancy
Pr1 Pr 0.089 0.089 0.375 1
Pr2 Pr 0.330 0.330 0.921 1
Pr3 Pr 0.670 0.670 0.079 1
Pr4 Pr 0.911 0.911 0.625 1
Hg1 Hg 0.374 0.374 0.323 1
Hg2 Hg 0.626 0.626 0.677 1
Cl1 Cl 0.000 0.000 0.000 1